Entry 1:
A plane-wave DFT calculation with GGA-PBE was carried out for an optimized crystal structure of BaCd2InC.

Energy of formation from the pure elements = 1909 meV per atom
Size of the total moment = 2.6 μB/f.u.
Symmetry = P4/mmm (123)
Crystal system = tetragonal

a = 6.8543 Å, b = 6.8961 Å, c = 6.8543 Å
α = 90.00°, β = 90.00°, γ = 90.00°
Fractional positions:
Cd 0.5000 0.0000 0.0000
Cd 0.0000 0.0000 0.5000
In 0.0000 0.5000 0.0000
Ba 0.0000 0.0000 0.0000
C 0.5000 0.5000 0.5000

Entry 2:
A plane-wave DFT calculation with GGA-PBE was carried out for an optimized crystal structure of TbTmHf.

Energy of formation from the pure elements = 112 meV per atom
Size of the total moment = 0.0 μB/f.u.
Symmetry = I4mm (107)
Offset from the most stable computed form = 0.0000 eV per atom
Crystal system = tetragonal

a = 3.3522 Å, b = 3.3522 Å, c = 7.7329 Å
α = 102.52°, β = 102.52°, γ = 90.00°
Fractional positions:
Hf 0.6683 0.6683 0.3366
Tb 0.0106 0.0106 0.0212
Tm 0.3211 0.3211 0.6422

Entry 3:
A plane-wave DFT calculation with GGA-PBE was carried out for an optimized crystal structure of PmGaCo2Ge.

Energy of formation from the pure elements = -117 meV per atom
Size of the total moment = 0.0 μB/f.u.
Symmetry = P4mm (99)
Crystal system = tetragonal

a = 4.0417 Å, b = 4.0416 Å, c = 6.4690 Å
α = 90.00°, β = 90.00°, γ = 90.00°
Fractional positions:
Co 0.0000 0.5000 0.8743
Co 0.5000 0.0000 0.8743
Ge 0.0000 0.0000 0.0498
Pm 0.0000 0.0000 0.5254
Ga 0.5000 0.5000 0.6762

Entry 4:
A plane-wave DFT calculation with GGA-PBE was carried out for an optimized crystal structure of Nd2AlZn12Cu3.

Energy of formation from the pure elements = 234 meV per atom
Size of the total moment = 0.0 μB/f.u.
Symmetry = R-3m (166)
Crystal system = trigonal

a = 7.7868 Å, b = 7.7868 Å, c = 7.7868 Å
α = 65.89°, β = 65.89°, γ = 65.89°
Fractional positions:
Cu 0.0000 0.0000 0.5000
Cu 0.5000 0.0000 0.0000
Cu 0.0000 0.5000 0.0000
Zn 0.3460 0.9912 0.3460
Zn 0.0088 0.6540 0.6540
Zn 0.1358 0.6384 0.1358
Zn 0.3616 0.8642 0.8642
Zn 0.9912 0.3460 0.3460
Zn 0.6384 0.1358 0.1358
Zn 0.8642 0.3616 0.8642
Zn 0.1358 0.1358 0.6384
Zn 0.6540 0.0088 0.6540
Zn 0.3460 0.3460 0.9912
Zn 0.8642 0.8642 0.3616
Zn 0.6540 0.6540 0.0088
Al 0.0000 0.0000 0.0000
Nd 0.4024 0.4024 0.4024
Nd 0.5976 0.5976 0.5976

no.,uncorrected energy (eV/atom)
1,-1.234
2,-6.240
3,-5.438
4,-2.036